CrPbSe2 | Alexandria via LeMat-Bulk | GGA-PBE | optimized geometry; SG = P2/m; VASP energy = -0.390 Ry/atom; M_tot = 3.997 μB/cell
1.0
-3.604 2.002 0.335
-2.862 -4.329 -4.911
-2.857 -5.003 -0.830
Cr Se Pb
1 2 1
direct
0.500 0.500 0.500
0.000 0.000 0.000
0.500 0.500 0.000
0.000 0.000 0.500

CrPbSe3 | Alexandria via LeMat-Bulk | GGA-PBE | optimized geometry; SG = Pm-3m; VASP energy = -0.360 Ry/atom; offset from the most stable computed form = 0.000 eV per atom; M_tot = 2.668 μB/cell
1.0
-0.906 0.747 -4.792
4.296 -2.140 -1.145
-2.252 -4.382 -0.257
Se Pb Cr
3 1 1
direct
0.000 0.500 0.000
0.500 0.000 0.000
0.000 0.000 0.500
0.500 0.500 0.500
0.000 0.000 0.000

CrPbSe2 | Alexandria via LeMat-Bulk | GGA-PBE | optimized geometry; SG = F-43m; VASP energy = -0.344 Ry/atom; M_tot = 4.176 μB/cell
1.0
-3.224 3.874 0.287
-4.911 -0.730 -0.911
-3.332 0.237 3.785
Pb Se Cr
1 2 1
direct
0.750 0.750 0.750
0.000 0.000 0.000
0.250 0.250 0.250
0.500 0.500 0.500

CrPbSe2 | Alexandria via LeMat-Bulk | GGA-PBE | optimized geometry; SG = R3m; VASP energy = -0.403 Ry/atom; M_tot = 3.025 μB/cell
1.0
3.699 0.000 0.000
1.849 3.203 0.000
1.849 1.068 7.837
Se Pb Cr
2 1 1
direct
0.274 0.274 0.177
0.059 0.059 0.823
0.501 0.501 0.498
0.666 0.666 0.002

Cr2PbSe | Alexandria via LeMat-Bulk | GGA-PBE | optimized geometry; SG = C2/m; VASP energy = -0.453 Ry/atom; offset from the most stable computed form = 0.330 eV per atom; M_tot = 8.116 μB/cell
1.0
4.899 -0.031 -0.006
-0.665 4.854 -0.006
0.024 0.027 3.440
Se Pb Cr
1 1 2
direct
0.000 0.500 0.500
0.500 0.000 0.500
0.000 0.000 0.000
0.500 0.500 0.000

Cr2PbSe | Alexandria via LeMat-Bulk | GGA-PBE | optimized geometry; SG = R-3m; VASP energy = -0.470 Ry/atom; offset from the most stable computed form = 0.100 eV per atom; M_tot = 7.580 μB/cell
1.0
-2.290 -6.058 4.089
0.889 -5.167 5.583
-2.122 -3.388 6.533
Cr Pb Se
2 1 1
direct
0.012 0.012 0.012
0.488 0.488 0.488
0.250 0.250 0.250
0.750 0.750 0.750

CrPbSe2 | Alexandria via LeMat-Bulk | GGA-PBE | optimized geometry; SG = Cm; VASP energy = -0.394 Ry/atom; M_tot = 3.998 μB/cell
1.0
-5.449 -4.406 -1.340
-3.688 -3.977 -4.635
2.299 -3.573 0.764
Cr Se Pb
1 2 1
direct
0.434 0.434 0.746
0.053 0.053 0.782
0.808 0.808 0.722
0.205 0.205 0.250

Cr2Pb2Se | Alexandria via LeMat-Bulk | GGA-PBE | optimized geometry; SG = P4/mbm; VASP energy = -0.390 Ry/atom; offset from the most stable computed form = 0.095 eV per atom; M_tot = 3.260 μB/cell
1.0
-8.037 -2.813 -1.228
-1.081 -0.626 8.512
-1.022 2.885 0.082
Se Pb Cr
2 4 4
direct
0.500 0.500 0.000
0.000 0.000 0.000
0.294 0.794 0.000
0.206 0.294 0.000
0.794 0.706 0.000
0.706 0.206 0.000
0.076 0.576 0.500
0.576 0.924 0.500
0.424 0.076 0.500
0.924 0.424 0.500

Cr2PbSe | Alexandria via LeMat-Bulk | GGA-PBE | optimized geometry; SG = Imm2; VASP energy = -0.467 Ry/atom; offset from the most stable computed form = 0.140 eV per atom; M_tot = 7.734 μB/cell
1.0
-1.177 -7.014 2.670
2.170 -4.801 5.473
-2.292 6.747 -2.635
Se Pb Cr
1 1 2
direct
0.208 0.708 0.500
0.446 0.446 0.000
0.071 0.071 0.000
0.775 0.275 0.500

Cr2PbSe | Alexandria via LeMat-Bulk | GGA-PBE | optimized geometry; SG = I-42d; VASP energy = -0.456 Ry/atom; offset from the most stable computed form = 0.295 eV per atom; M_tot = 15.424 μB/cell
1.0
7.341 0.000 0.000
0.000 7.341 0.000
3.670 3.670 3.225
Pb Cr Se
2 4 2
direct
0.750 0.250 0.500
0.000 0.000 0.000
0.169 0.625 0.250
0.875 0.831 0.750
0.581 0.125 0.250
0.375 0.419 0.750
0.500 0.500 0.000
0.250 0.750 0.500

CrPbSe2 | Alexandria via LeMat-Bulk | GGA-PBE | optimized geometry; SG = Imm2; VASP energy = -0.390 Ry/atom; M_tot = 3.924 μB/cell
1.0
-6.003 -0.401 4.681
-6.786 -3.427 0.560
7.516 0.015 -1.271
Se Cr Pb
2 1 1
direct
0.979 0.979 0.000
0.683 0.183 0.500
0.543 0.543 0.000
0.295 0.795 0.500

Cr2PbSe | Alexandria via LeMat-Bulk | GGA-PBE | optimized geometry; SG = Immm; VASP energy = -0.454 Ry/atom; offset from the most stable computed form = 0.316 eV per atom; M_tot = 7.854 μB/cell
1.0
5.378 0.007 0.014
1.105 5.263 -0.014
-2.293 -3.803 3.035
Cr Se Pb
2 1 1
direct
0.470 0.470 0.000
0.030 0.030 0.000
0.250 0.750 0.500
0.750 0.250 0.500

Cr2PbSe | Alexandria via LeMat-Bulk | GGA-PBE | optimized geometry; SG = Pm; VASP energy = -0.474 Ry/atom; offset from the most stable computed form = 0.053 eV per atom; M_tot = 0.542 μB/cell
1.0
-3.692 0.663 -0.849
0.444 -1.286 -2.936
-1.751 -6.489 2.545
Cr Se Pb
2 1 1
direct
0.000 0.875 0.089
0.500 0.375 0.116
0.500 0.878 0.861
0.000 0.372 0.434

CrPbSe2 | Alexandria via LeMat-Bulk | GGA-PBE | optimized geometry; SG = Pm; VASP energy = -0.394 Ry/atom; M_tot = 4.002 μB/cell
1.0
4.452 0.000 0.000
0.000 4.120 -0.073
0.000 1.946 5.973
Pb Se Cr
1 2 1
direct
0.500 0.710 0.802
0.000 0.026 0.010
0.500 0.345 0.439
0.000 0.418 0.249

Cr2PbSe | Alexandria via LeMat-Bulk | GGA-PBE | optimized geometry; SG = R3m; VASP energy = -0.465 Ry/atom; offset from the most stable computed form = 0.172 eV per atom; M_tot = 1.012 μB/cell
1.0
-9.353 -0.302 -0.405
-8.863 -1.826 2.419
-8.964 1.417 2.321
Cr Se Pb
2 1 1
direct
0.266 0.266 0.266
0.002 0.002 0.002
0.725 0.725 0.725
0.508 0.508 0.508